No. 1
CaFe2Sb: relaxed, PBE-GGA.

Values from the calculation:
**Crystal system**: trigonal
**Formation energy from raw total energies**: -0.1095 eV/atom
**Total DFT energy (no corrections)**: -5.872 eV per atom
**Size of the total moment**: 3.5 μB/f.u.

Structure (POSCAR):
```
CaFe2Sb
1.0
4.116 0.023 0.013
2.038 3.576 0.013
2.035 1.190 5.627
Fe Ca Sb
2 1 1
Direct
0.721 0.721 0.836 Fe
0.055 0.055 0.834 Fe
0.263 0.263 0.209 Ca
0.460 0.460 0.620 Sb
```

***

No. 2
LaCeInAu: relaxed, PBE-GGA.

Values from the calculation:
**Crystal system**: cubic
**E_form**: -0.4764 eV per atom
**Total DFT energy (no corrections)**: -4.696 eV per atom
**Size of the total moment**: 1.4 μB/f.u.

Structure (POSCAR):
```
LaCeInAu
1.0
-0.658 -3.056 4.444
2.116 -5.001 0.196
4.238 -1.031 3.240
La In Ce Au
1 1 1 1
Direct
0.250 0.250 0.250 La
0.500 0.500 0.500 In
0.750 0.750 0.750 Ce
0.000 0.000 0.000 Au
```

***

No. 3
YCo2Ir2: relaxed, PBE-GGA.

Values from the calculation:
**Crystal system**: tetragonal
**E_form**: -0.0707 eV per atom
**Total DFT energy (no corrections)**: -7.750 eV per atom
**Size of the total moment**: 3.1 μB/f.u.

Structure (POSCAR):
```
YCo2Ir2
1.0
7.377 0.000 0.000
0.000 7.377 0.000
0.000 0.000 2.807
Co Ir Y
4 4 2
Direct
0.171 0.671 0.500 Co
0.671 0.829 0.500 Co
0.829 0.329 0.500 Co
0.329 0.171 0.500 Co
0.373 0.873 0.000 Ir
0.127 0.373 0.000 Ir
0.873 0.627 0.000 Ir
0.627 0.127 0.000 Ir
0.000 0.000 0.000 Y
0.500 0.500 0.000 Y
```

***

No. 4
PmPrBr6: relaxed, PBE-GGA.

Values from the calculation:
**Crystal system**: trigonal
**Formation energy from raw total energies**: -1.8312 eV/atom
**Total DFT energy (no corrections)**: -4.277 eV per atom
**Size of the total moment**: 0.0 μB/f.u.

Structure (POSCAR):
```
PmPrBr6
1.0
7.243 0.010 0.009
3.614 6.277 0.014
3.611 2.087 6.653
Br Pm Pr
6 1 1
Direct
0.247 0.913 0.248 Br
0.591 0.247 0.248 Br
0.753 0.087 0.752 Br
0.087 0.409 0.752 Br
0.913 0.591 0.248 Br
0.409 0.753 0.752 Br
0.000 0.000 0.000 Pm
0.500 0.500 0.500 Pr
```

***

No. 5
AcSm2Zn2: relaxed, PBE-GGA.

Values from the calculation:
**Crystal system**: triclinic
**E_form**: -0.1714 eV per atom
**Total DFT energy (no corrections)**: -3.390 eV per atom
**Size of the total moment**: 0.0 μB/f.u.

Structure (POSCAR):
```
AcSm2Zn2
1.0
4.420 0.002 0.000
0.004 7.149 -2.664
-2.212 -4.227 10.657
Sm Zn Ac
4 4 2
Direct
0.355 0.711 0.711 Sm
0.645 0.289 0.289 Sm
0.355 0.211 0.711 Sm
0.645 0.789 0.289 Sm
0.206 0.162 0.413 Zn
0.207 0.662 0.413 Zn
0.794 0.838 0.587 Zn
0.793 0.338 0.587 Zn
0.001 0.250 0.000 Ac
0.999 0.750 0.000 Ac
```

***

No. 6
ScOsRu2: relaxed, PBE-GGA.

Values from the calculation:
**Crystal system**: orthorhombic
**E_form**: -0.0661 eV per atom
**Total DFT energy (no corrections)**: -9.094 eV per atom
**Size of the total moment**: 0.0 μB/f.u.

Structure (POSCAR):
```
ScOsRu2
1.0
4.485 0.000 0.000
0.000 2.884 -0.003
0.000 0.004 4.690
Ru Os Sc
2 1 1
Direct
0.000 0.125 0.930 Ru
0.500 0.125 0.340 Ru
0.500 0.625 0.818 Os
0.000 0.625 0.412 Sc
```

***

No. 7
ErCuPbSe3: relaxed, PBE-GGA.

Values from the calculation:
**Crystal system**: orthorhombic
**Formation energy from raw total energies**: -1.0080 eV/atom
**Total DFT energy (no corrections)**: -4.811 eV per atom
**Size of the total moment**: 0.0 μB/f.u.

Structure (POSCAR):
```
ErCuPbSe3
1.0
-2.458 -0.852 3.105
6.982 -7.116 3.572
6.072 9.708 7.471
Er Pb Se Cu
4 4 12 4
Direct
0.250 0.523 0.744 Er
0.750 0.477 0.256 Er
0.750 0.977 0.244 Er
0.250 0.023 0.756 Er
0.750 0.222 0.494 Pb
0.250 0.278 0.994 Pb
0.750 0.722 0.006 Pb
0.250 0.778 0.506 Pb
0.250 0.913 0.108 Se
0.250 0.270 0.670 Se
0.250 0.543 0.116 Se
0.750 0.957 0.616 Se
0.750 0.587 0.608 Se
0.250 0.043 0.384 Se
0.250 0.770 0.830 Se
0.750 0.230 0.170 Se
0.750 0.457 0.884 Se
0.750 0.730 0.330 Se
0.750 0.087 0.892 Se
0.250 0.413 0.392 Se
0.250 0.235 0.279 Cu
0.250 0.735 0.221 Cu
0.750 0.265 0.779 Cu
0.750 0.765 0.721 Cu
```

***

No. 8
TbDy5Y2In: relaxed, PBE-GGA.

Values from the calculation:
**Crystal system**: orthorhombic
**E_form**: -0.0040 eV per atom
**Total DFT energy (no corrections)**: -4.816 eV per atom
**Size of the total moment**: 0.0 μB/f.u.

Structure (POSCAR):
```
TbDy5Y2In
1.0
-4.294 2.149 2.391
-3.126 -2.130 -9.719
-3.063 -9.546 3.077
Dy Y In Tb
10 4 2 2
Direct
0.289 0.578 0.310 Dy
0.500 0.000 0.258 Dy
0.013 0.025 0.008 Dy
0.500 0.000 0.758 Dy
0.987 0.975 0.508 Dy
0.384 0.768 0.008 Dy
0.289 0.578 0.707 Dy
0.711 0.422 0.207 Dy
0.711 0.422 0.810 Dy
0.616 0.232 0.508 Dy
0.884 0.768 0.217 Y
0.116 0.232 0.299 Y
0.116 0.232 0.717 Y
0.884 0.768 0.799 Y
0.596 0.192 0.008 In
0.404 0.808 0.508 In
0.791 0.583 0.508 Tb
0.209 0.417 0.008 Tb
```

***

No. 9
ErCd6Ag2: relaxed, PBE-GGA.

Values from the calculation:
**Crystal system**: monoclinic
**E_form**: -0.0778 eV per atom
**Total DFT energy (no corrections)**: -1.828 eV per atom
**Size of the total moment**: 0.0 μB/f.u.

Structure (POSCAR):
```
ErCd6Ag2
1.0
3.256 0.002 0.002
1.634 8.191 2.068
1.634 2.425 8.092
Cd Er Ag
6 1 2
Direct
0.676 0.649 0.001 Cd
0.324 0.351 0.999 Cd
0.500 0.330 0.670 Cd
0.500 0.670 0.330 Cd
0.324 0.999 0.351 Cd
0.676 0.001 0.649 Cd
0.000 0.000 0.000 Er
0.147 0.354 0.354 Ag
0.853 0.646 0.646 Ag
```

***

No. 10
BPN2: relaxed, PBE-GGA.

Values from the calculation:
**Crystal system**: trigonal
**Formation energy from raw total energies**: 0.3103 eV/atom
**Total DFT energy (no corrections)**: -6.874 eV per atom
**Size of the total moment**: 0.0 μB/f.u.

Structure (POSCAR):
```
BPN2
1.0
-3.114 2.814 3.042
-0.257 4.075 3.193
-2.104 4.678 0.743
N P B
2 1 1
Direct
0.093 0.093 0.093 N
0.907 0.907 0.907 N
0.500 0.500 0.500 P
0.000 0.000 0.000 B
```